The following is a DFT calculation (PBE-GGA) of Tc2Cl after structural relaxation.

Cell and atoms, written as POSCAR:
```
Tc2Cl
1.0
-1.459 1.459 5.410
1.459 -1.459 5.410
1.459 1.459 -5.410
Tc Cl
2 1
direct
0.679 0.679 0.000
0.321 0.321 0.000
0.000 0.000 0.000
```

Computed properties:
Its crystal system is tetragonal. The calculation puts the total energy at -7.286 eV per atom. The value obtained for the polymorph energy (0 for the lowest one) is 0.166 eV per atom.